{"formula": "U2CoSi3", "functional": "PBE", "state": "optimized geometry", "dos_at_fermi_per_ev_fu": 10.50, "spacegroup": "Pmm2, No. 25", "formation_energy_uncorrected_ev_per_atom": -0.412, "final_energy_ev_per_atom": -8.07, "lattice_angstrom": [[-1.2278, 3.0664, -1.7985], [1.2662, -1.5533, -3.5128], [-6.1379, -2.9819, -0.8939]], "species": ["U", "U", "Co", "Si", "Si", "Si"], "frac_coords": [[0.0000, 0.5000, 0.0095], [0.0000, 0.0000, 0.4950], [0.5000, 0.5000, 0.3292], [0.5000, 0.0000, 0.8333], [0.5000, 0.0000, 0.1717], [0.5000, 0.5000, 0.6613]]}